{"formula": "In4SnS8", "functional": "PBEsol", "state": "optimized geometry", "cell": [[7.522, 0.001, 0.001], [3.746, 6.523, 0.001], [3.746, 2.169, 6.152]], "species": ["In", "In", "In", "In", "Sn", "S", "S", "S", "S", "S", "S", "S", "S"], "fractional_positions": [[0.010, 0.010, 0.471], [0.010, 0.471, 0.010], [0.471, 0.010, 0.010], [0.630, 0.630, 0.630], [0.009, 0.009, 0.009], [0.244, 0.752, 0.244], [0.244, 0.244, 0.752], [0.752, 0.244, 0.244], [0.248, 0.248, 0.248], [0.763, 0.763, 0.763], [0.223, 0.760, 0.760], [0.760, 0.760, 0.223], [0.760, 0.223, 0.760]], "raw_formation_energy_ev_per_atom": -0.52, "magmom_total_mub_per_atom": 0.000, "rho_g_cm3": 4.59, "total_energy_ev_per_atom": -4.4654}